# 1
## Co2BRh (GGA-PBE)

Data for an optimized crystal structure of Co2BRh.

a = 3.251 Å, b = 3.251 Å, c = 8.900 Å
α = 79.47°, β = 79.47°, γ = 90.00°
Each line ends with the local moment (μB).
Atoms (fractional coordinates):
1 Co 0.596 0.125 0.250  1.66
2 Co 0.154 0.625 0.250  1.66
3 Co 0.375 0.404 0.750  1.67
4 Co 0.875 0.846 0.750  1.67
5 B 0.500 0.500 0.000  -0.03
6 B 0.250 0.750 0.500  -0.03
7 Rh 0.000 0.000 0.000  0.33
8 Rh 0.750 0.250 0.500  0.33

Computed properties:
**Total magnetic moment**: 7.30 μB/cell
**DFT total energy**: -6.6136 eV per atom
**Crystal system**: tetragonal
**Volume**: 11.361 Å³ per atom

---

# 2
## BaNiIr2 (GGA-PBE)

Data for an optimized crystal structure of BaNiIr2.

a = 3.059 Å, b = 3.061 Å, c = 7.923 Å
α = 90.00°, β = 90.00°, γ = 90.00°
Atoms (fractional coordinates):
1 Ba 0.500 0.500 0.750
2 Ir 0.000 0.000 0.075
3 Ir 0.000 0.000 0.425
4 Ni 0.500 0.500 0.250

Computed properties:
**Total magnetic moment**: 0.00 μB/cell
**DFT total energy**: -5.8725 eV per atom
**Crystal system**: tetragonal
**Volume**: 18.544 Å³ per atom

---

# 3
## SrErCu2Ge2 (GGA-PBE)

Data for an optimized crystal structure of SrErCu2Ge2.

a = 4.329 Å, b = 4.329 Å, c = 7.763 Å
α = 90.00°, β = 90.00°, γ = 120.00°
Atoms (fractional coordinates):
1 Sr 0.000 0.000 0.000
2 Er 0.000 0.000 0.500
3 Cu 0.333 0.667 0.700
4 Cu 0.667 0.333 0.300
5 Ge 0.333 0.667 0.289
6 Ge 0.667 0.333 0.711

Computed properties:
**Total magnetic moment**: 0.00 μB/cell
**DFT total energy**: -4.5103 eV per atom
**Crystal system**: trigonal
**Volume**: 21.003 Å³ per atom

---

# 4
## SmY7Hg4 (GGA-PBE)

Data for an optimized crystal structure of SmY7Hg4.

a = 5.686 Å, b = 9.021 Å, c = 7.867 Å
α = 70.97°, β = 68.82°, γ = 71.63°
Atoms (fractional coordinates):
1 Sm 0.000 0.000 0.000
2 Y 0.791 0.883 0.534
3 Y 0.209 0.117 0.466
4 Y 0.066 0.595 0.272
5 Y 0.934 0.405 0.728
6 Y 0.270 0.680 0.780
7 Y 0.500 0.000 0.000
8 Y 0.730 0.320 0.220
9 Hg 0.548 0.270 0.634
10 Hg 0.452 0.730 0.366
11 Hg 0.688 0.662 0.962
12 Hg 0.312 0.338 0.038

Computed properties:
**Total magnetic moment**: 0.00 μB/cell
**DFT total energy**: -4.3906 eV per atom
**Crystal system**: monoclinic
**Volume**: 28.888 Å³ per atom

---

# 5
## KTaMn2 (GGA-PBE)

Data for an optimized crystal structure of KTaMn2.

a = 3.231 Å, b = 3.231 Å, c = 8.379 Å
α = 90.00°, β = 90.00°, γ = 90.03°
Each line ends with the local moment (μB).
Atoms (fractional coordinates):
1 K 0.500 0.500 0.750  0.02
2 Mn 0.000 0.000 0.088  3.00
3 Mn 0.000 0.000 0.412  3.00
4 Ta 0.500 0.500 0.250  -0.69

Computed properties:
**Total magnetic moment**: 5.63 μB/cell
**DFT total energy**: -7.2794 eV per atom
**Crystal system**: tetragonal
**Volume**: 21.873 Å³ per atom

---

# 6
## BeTcOs2 (GGA-PBE)

Data for an optimized crystal structure of BeTcOs2.

a = 4.692 Å, b = 4.692 Å, c = 4.692 Å
α = 133.38°, β = 133.38°, γ = 68.06°
Atoms (fractional coordinates):
1 Be 0.750 0.250 0.500
2 Os 0.000 0.000 0.000
3 Os 0.500 0.500 0.000
4 Tc 0.250 0.750 0.500

Computed properties:
**Total magnetic moment**: 0.00 μB/cell
**DFT total energy**: -8.9293 eV per atom
**Crystal system**: tetragonal
**Volume**: 13.405 Å³ per atom

---

# 7
## BaIn2Te (GGA-PBE)

Data for an optimized crystal structure of BaIn2Te.

a = 9.283 Å, b = 9.283 Å, c = 7.402 Å
α = 51.17°, β = 51.17°, γ = 90.00°
Atoms (fractional coordinates):
1 Te 0.500 0.500 0.000
2 Te 0.250 0.750 0.500
3 Ba 0.000 0.000 0.000
4 Ba 0.750 0.250 0.500
5 In 0.589 0.125 0.250
6 In 0.161 0.625 0.250
7 In 0.375 0.411 0.750
8 In 0.875 0.839 0.750

Computed properties:
**Total magnetic moment**: 0.00 μB/cell
**Crystal system**: tetragonal
**Energy relative to the elements, uncorrected**: -1.9 eV per formula unit
**Volume**: 36.852 Å³ per atom

---

# 8
## Tb2ErAu (GGA-PBE)

Data for an optimized crystal structure of Tb2ErAu.

a = 4.925 Å, b = 6.415 Å, c = 7.835 Å
α = 90.00°, β = 90.00°, γ = 112.52°
Atoms (fractional coordinates):
1 Tb 0.357 0.715 0.535
2 Tb 0.643 0.285 0.465
3 Tb 0.357 0.715 0.965
4 Tb 0.643 0.285 0.035
5 Er 0.958 0.916 0.250
6 Er 0.042 0.084 0.750
7 Au 0.797 0.593 0.750
8 Au 0.203 0.407 0.250

Computed properties:
**Total magnetic moment**: 0.00 μB/cell
**DFT total energy**: -4.6636 eV per atom
**Crystal system**: orthorhombic
**Volume**: 28.577 Å³ per atom